1.
DFT (PBE) results for a relaxed structure of SbCSe2Br.

The value obtained for the density of states at the Fermi level is 1.20 states/eV per atom. Its raw total energy is -0.101 Ha/atom. The calculation puts the energy relative to the elements, uncorrected at 1654 meV per atom. The value obtained for the relative energy among the computed polymorphs is 669.5 meV/atom.

The structure belongs to space group P4/mmm (No. 123); the cell edges are 5.382, 5.382 and 5.476 Å and the angles 90.00°, 90.00° and 90.00°. The distinct sites, in fractional coordinates, are Sb at (0.000, 0.000, 0.000), C at (0.500, 0.500, 0.500), Se at (0.000, 0.500, 0.000) and Br at (0.000, 0.000, 0.500).

2.
DFT (PBE) results for a relaxed structure of SbCSeBr2.

The value obtained for the density of states at the Fermi level is 1.14 states/eV per atom. Its raw total energy is -0.096 Ha/atom. The calculation puts the energy relative to the elements, uncorrected at 1416 meV per atom. The value obtained for the relative energy among the computed polymorphs is 397.6 meV/atom.

The structure belongs to space group P4/mmm (No. 123); the cell edges are 5.526, 5.526 and 5.443 Å and the angles 90.00°, 90.00° and 90.00°. The distinct sites, in fractional coordinates, are Sb at (0.000, 0.000, 0.000), C at (0.500, 0.500, 0.500), Se at (0.000, 0.000, 0.500) and Br at (0.000, 0.500, 0.000).

3.
DFT (PBE) results for a relaxed structure of SbCSeBr2.

The value obtained for the density of states at the Fermi level is 0.56 states/eV per atom. Its raw total energy is -0.111 Ha/atom. The calculation puts the energy relative to the elements, uncorrected at 1019 meV per atom. The value obtained for the relative energy among the computed polymorphs is 0.0 meV/atom.

The structure belongs to space group P4/mmm (No. 123); the cell edges are 4.710, 4.710 and 4.644 Å and the angles 90.00°, 90.00° and 90.00°. The distinct sites, in fractional coordinates, are Sb at (0.000, 0.000, 0.000), C at (0.500, 0.500, 0.500), Se at (0.500, 0.500, 0.000) and Br at (0.000, 0.500, 0.500).

4.
DFT (PBE) results for a relaxed structure of SbTe2CBr.

The value obtained for the density of states at the Fermi level is 1.94 states/eV per atom. Its raw total energy is -0.075 Ha/atom. The calculation puts the energy relative to the elements, uncorrected at 2233 meV per atom. The value obtained for the relative energy among the computed polymorphs is 1255.9 meV/atom.

The structure belongs to space group P4/mmm (No. 123); the cell edges are 5.657, 5.657 and 5.613 Å and the angles 90.00°, 90.00° and 90.00°. The distinct sites, in fractional coordinates, are Sb at (0.000, 0.000, 0.000), Te at (0.000, 0.500, 0.500), C at (0.500, 0.500, 0.000) and Br at (0.000, 0.000, 0.500).